An optimized crystal structure of HgGeSeN2. Source: the Alexandria database, functional PBE.

Geometry as CIF:
```
data_HgGeSeN2
_space_group_name_H-M_alt 'P 4/m m m'
_space_group_IT_number 123
_space_group_name_Hall '-P 4 2'
_cell_length_a 4.230
_cell_length_b 4.230
_cell_length_c 5.995
_cell_angle_alpha 90.00
_cell_angle_beta 90.00
_cell_angle_gamma 90.00
loop_
_atom_site_label
_atom_site_fract_x
_atom_site_fract_y
_atom_site_fract_z
_atom_site_occupancy
Hg1 0.000 0.000 0.000 1
Ge1 0.500 0.500 0.500 1
Se1 0.000 0.000 0.500 1
N1 0.000 0.500 0.000 1
```

Results
Distance to the lowest polymorph of the same formula (eV per atom): 0.708
Total magnetic moment (μB per cell): 3.21